[1]
The following is a DFT calculation (PBE) of crystalline Dy4SbAs2 at its relaxed geometry.

Calculated values
theoretical density: 8.727 Mg/m³
crystal system: tetragonal
formation energy without anion corrections: -1.148 eV/atom

Unit cell a=7.6959 b=7.6959 c=7.6959 alpha=108.76 beta=108.76 gamma=110.90
Positions (direct):
Dy (0.1319, 0.7389, 0.7406)
Dy (0.1413, 0.2483, 0.7594)
Dy (0.2611, 0.0017, 0.3930)
Dy (0.4889, 0.3819, 0.2406)
Dy (0.6087, 0.8681, 0.6070)
Dy (0.6181, 0.8587, 0.1070)
Dy (0.7517, 0.5111, 0.8930)
Dy (0.9983, 0.3913, 0.2594)
Sb (0.0000, 0.0000, 0.0000)
Sb (0.7500, 0.2500, 0.5000)
As (0.2400, 0.6250, 0.1150)
As (0.3750, 0.4900, 0.6150)
As (0.5100, 0.1250, 0.8850)
As (0.8750, 0.7600, 0.3850)

[2]
The following is a DFT calculation (PBE) of crystalline Dy5SbAs4 at its relaxed geometry.

Calculated values
theoretical density: 7.979 Mg/m³
crystal system: monoclinic
formation energy without anion corrections: -1.440 eV/atom

Unit cell a=7.2304 b=7.2304 c=10.2461 alpha=118.22 beta=118.22 gamma=33.46
Positions (direct):
Dy (0.0000, 0.0000, 0.0000)
Dy (0.2044, 0.2044, 0.8101)
Dy (0.3936, 0.3936, 0.6068)
Dy (0.6064, 0.6064, 0.3932)
Dy (0.7956, 0.7956, 0.1899)
Sb (0.0000, 0.0000, 0.5000)
As (0.2019, 0.2019, 0.2966)
As (0.4019, 0.4019, 0.1009)
As (0.5981, 0.5981, 0.8991)
As (0.7981, 0.7981, 0.7034)

[3]
The following is a DFT calculation (PBE) of crystalline Dy4Sb3As at its relaxed geometry.

Calculated values
theoretical density: 7.933 Mg/m³
crystal system: orthorhombic
formation energy without anion corrections: -1.212 eV/atom

Unit cell a=8.6650 b=12.2205 c=4.3101 alpha=90.00 beta=90.00 gamma=90.00
Positions (direct):
Dy (0.0000, 0.2438, 0.0000)
Dy (0.0000, 0.7562, 0.0000)
Dy (0.2384, 0.0000, 0.5000)
Dy (0.2616, 0.5000, 0.5000)
Dy (0.5000, 0.2562, 0.0000)
Dy (0.5000, 0.7438, 0.0000)
Dy (0.7384, 0.5000, 0.5000)
Dy (0.7616, 0.0000, 0.5000)
Sb (0.0000, 0.5000, 0.0000)
Sb (0.2500, 0.2500, 0.5000)
Sb (0.2500, 0.7500, 0.5000)
Sb (0.5000, 0.0000, 0.0000)
Sb (0.7500, 0.2500, 0.5000)
Sb (0.7500, 0.7500, 0.5000)
As (0.0000, 0.0000, 0.0000)
As (0.5000, 0.5000, 0.0000)

[4]
The following is a DFT calculation (PBE) of crystalline Dy3Sb2As at its relaxed geometry.

Calculated values
theoretical density: 7.933 Mg/m³
crystal system: tetragonal
formation energy without anion corrections: -1.238 eV/atom

Unit cell a=4.3035 b=4.3035 c=18.2184 alpha=90.00 beta=90.00 gamma=90.00
Positions (direct):
Dy (0.0000, 0.0000, 0.0000)
Dy (0.0000, 0.0000, 0.3410)
Dy (0.0000, 0.0000, 0.6590)
Dy (0.5000, 0.5000, 0.1590)
Dy (0.5000, 0.5000, 0.5000)
Dy (0.5000, 0.5000, 0.8410)
Sb (0.0000, 0.0000, 0.1685)
Sb (0.0000, 0.0000, 0.8315)
Sb (0.5000, 0.5000, 0.3315)
Sb (0.5000, 0.5000, 0.6685)
As (0.0000, 0.0000, 0.5000)
As (0.5000, 0.5000, 0.0000)

[5]
The following is a DFT calculation (PBE) of crystalline Dy4Sb3As at its relaxed geometry.

Calculated values
theoretical density: 7.927 Mg/m³
crystal system: cubic
formation energy without anion corrections: -1.199 eV/atom

Unit cell a=6.1125 b=6.1125 c=6.1125 alpha=90.00 beta=90.00 gamma=90.00
Positions (direct):
Dy (0.0000, 0.0000, 0.0000)
Dy (0.0000, 0.5000, 0.5000)
Dy (0.5000, 0.0000, 0.5000)
Dy (0.5000, 0.5000, 0.0000)
Sb (0.0000, 0.0000, 0.5000)
Sb (0.0000, 0.5000, 0.0000)
Sb (0.5000, 0.0000, 0.0000)
As (0.5000, 0.5000, 0.5000)

[6]
The following is a DFT calculation (PBE) of crystalline Dy4SbAsSe2 at its relaxed geometry.

Calculated values
theoretical density: 8.117 Mg/m³
crystal system: monoclinic
formation energy without anion corrections: -1.562 eV/atom

Unit cell a=7.1856 b=4.1742 c=7.2725 alpha=90.00 beta=109.59 gamma=90.00
Positions (direct):
Dy (0.2445, 0.0000, 0.2367)
Dy (0.2541, 0.5000, 0.7644)
Dy (0.7459, 0.5000, 0.2356)
Dy (0.7555, 0.0000, 0.7633)
Sb (0.0000, 0.0000, 0.5000)
As (0.0000, 0.5000, 0.0000)
Se (0.5000, 0.0000, 0.0000)
Se (0.5000, 0.5000, 0.5000)

[7]
The following is a DFT calculation (PBE) of crystalline Dy4Sb2AsSe at its relaxed geometry.

Calculated values
theoretical density: 8.046 Mg/m³
crystal system: monoclinic
formation energy without anion corrections: -1.406 eV/atom

Unit cell a=7.3368 b=4.2389 c=7.3649 alpha=90.00 beta=109.31 gamma=90.00
Positions (direct):
Dy (0.2407, 0.0000, 0.2350)
Dy (0.2490, 0.5000, 0.7617)
Dy (0.7510, 0.5000, 0.2383)
Dy (0.7593, 0.0000, 0.7650)
Sb (0.0000, 0.0000, 0.5000)
Sb (0.5000, 0.5000, 0.5000)
As (0.0000, 0.5000, 0.0000)
Se (0.5000, 0.0000, 0.0000)

[8]
The following is a DFT calculation (PBE) of crystalline Dy4SbAs2Se at its relaxed geometry.

Calculated values
theoretical density: 8.041 Mg/m³
crystal system: monoclinic
formation energy without anion corrections: -1.524 eV/atom

Unit cell a=7.2227 b=4.1730 c=7.2629 alpha=90.00 beta=109.28 gamma=90.00
Positions (direct):
Dy (0.2417, 0.0000, 0.2348)
Dy (0.2523, 0.5000, 0.7640)
Dy (0.7477, 0.5000, 0.2360)
Dy (0.7583, 0.0000, 0.7652)
Sb (0.5000, 0.5000, 0.5000)
As (0.0000, 0.5000, 0.0000)
As (0.5000, 0.0000, 0.0000)
Se (0.0000, 0.0000, 0.5000)